(1)
## Nd2ErIn4 (PBE)

Data for an optimized crystal structure of Nd2ErIn4.

Unit cell a=5.603 b=5.603 c=8.986 alpha=108.16 beta=108.16 gamma=90.00
Fractional coordinates of all 7 atoms:
In 0.000 0.500 0.000
In 0.500 0.000 0.000
In 0.813 0.813 0.626
In 0.187 0.187 0.374
Nd 0.612 0.612 0.224
Nd 0.388 0.388 0.776
Er 0.000 0.000 0.000

## Properties
For the density of states at the Fermi level, the calculation gives 1.62 states/eV per atom. Its symmetry is No. 139.

***

(2)
## Nd12Er7In (PBE)

Data for an optimized crystal structure of Nd12Er7In.

Unit cell a=10.043 b=10.043 c=10.043 alpha=109.47 beta=109.47 gamma=109.47
Fractional coordinates of all 20 atoms:
Nd 0.000 0.778 0.222
Nd 0.222 0.000 0.778
Nd 0.222 0.222 0.444
Er 0.000 0.500 0.500
Nd 0.778 0.778 0.556
Nd 0.778 0.000 0.222
Nd 0.000 0.222 0.778
Er 0.500 0.500 0.500
Er 0.000 0.500 0.000
Er 0.000 0.000 0.500
Nd 0.778 0.556 0.778
Er 0.500 0.000 0.000
Nd 0.222 0.778 0.000
Er 0.500 0.500 0.000
In 0.000 0.000 0.000
Nd 0.444 0.222 0.222
Nd 0.778 0.222 0.000
Nd 0.222 0.444 0.222
Nd 0.556 0.778 0.778
Er 0.500 0.000 0.500

## Properties
For the density of states at the Fermi level, the calculation gives 1.88 states/eV per atom. Its symmetry is No. 229.

***

(3)
## NdErIn4 (PBE)

Data for an optimized crystal structure of NdErIn4.

Unit cell a=3.480 b=10.454 c=18.141 alpha=90.00 beta=90.00 gamma=90.00
Fractional coordinates of all 24 atoms:
In 0.500 0.485 0.789
In 0.500 0.796 0.191
Er 0.000 0.382 0.926
In 0.500 0.296 0.309
In 0.500 0.369 0.471
Nd 0.000 0.920 0.865
Er 0.000 0.618 0.074
In 0.500 0.204 0.809
In 0.500 0.653 0.921
In 0.500 0.153 0.579
Nd 0.000 0.080 0.135
In 0.500 0.631 0.529
In 0.500 0.869 0.029
In 0.500 0.347 0.079
In 0.500 0.985 0.711
Er 0.000 0.118 0.426
Er 0.000 0.882 0.574
Nd 0.000 0.580 0.365
In 0.500 0.704 0.691
In 0.500 0.515 0.211
In 0.500 0.847 0.421
In 0.500 0.131 0.971
In 0.500 0.015 0.289
Nd 0.000 0.420 0.635

## Properties
For the density of states at the Fermi level, the calculation gives 0.65 states/eV per atom. Its symmetry is No. 55.

***

(4)
## NdErIn4 (PBE)

Data for an optimized crystal structure of NdErIn4.

Unit cell a=6.034 b=6.034 c=6.034 alpha=60.00 beta=60.00 gamma=60.00
Fractional coordinates of all 6 atoms:
Er 0.000 0.000 0.000
Nd 0.250 0.250 0.250
In 0.625 0.625 0.625
In 0.125 0.625 0.625
In 0.625 0.125 0.625
In 0.625 0.625 0.125

## Properties
For the density of states at the Fermi level, the calculation gives 0.73 states/eV per atom. Its symmetry is No. 216.

***

Number 1: energy of formation from the pure elements 0.119 eV/atom, E above lowest polymorph 0.444 eV per atom, DFT total energy -3.460 eV per atom. Number 2: energy of formation from the pure elements 0.663 eV/atom, E above lowest polymorph 0.576 eV per atom, DFT total energy -3.932 eV per atom. Number 3: energy of formation from the pure elements -0.316 eV/atom, E above lowest polymorph 0.036 eV per atom, DFT total energy -3.697 eV per atom. Number 4: energy of formation from the pure elements -0.352 eV/atom, E above lowest polymorph 0.000 eV per atom, DFT total energy -3.732 eV per atom.